1.
The following is a DFT calculation (SCAN) of HfTiNb2F at its PBEsol-relaxed geometry.

a b c (Å): 4.954 4.954 3.745
angles (deg): 90.00 90.00 90.00
Space group P4/mmm (No. 123)
Asymmetric unit:
Hf: 0.000 0.000 0.000 [1 per cell]
Ti: 0.500 0.500 0.500 [1 per cell]
Nb: 0.000 0.500 0.500 [2 per cell]
F: 0.500 0.500 0.000 [1 per cell]

Results
Total moment: 0.00 μB per cell
Energy: -29.4791 eV per atom
Uncorrected formation energy: 221 meV per atom

***

2.
The following is a DFT calculation (SCAN) of Ba2Au at its PBEsol-relaxed geometry.

a b c (Å): 4.002 4.002 14.738
angles (deg): 90.00 90.00 90.00
Space group I4/mmm (No. 139)
Asymmetric unit:
Ba: 0.000 0.000 0.125 [4 per cell]
Au: 0.000 0.000 0.500 [2 per cell]

Results
Total moment: 0.00 μB per cell
Formation energy: -59.6 kJ per mole of atoms
Energy: -50.0371 eV per atom

***

3.
The following is a DFT calculation (SCAN) of Li2CuCO4 at its PBEsol-relaxed geometry.

a b c (Å): 7.247 4.982 10.478
angles (deg): 90.00 103.21 90.00
Space group P2_1/c (No. 14)
Asymmetric unit:
Li: 0.119 0.167 0.299 [4 per cell]
Li: 0.204 0.175 0.579 [4 per cell]
Cu: 0.450 0.655 0.692 [4 per cell]
C: 0.164 0.679 0.447 [4 per cell]
O: 0.047 0.679 0.862 [4 per cell]
O: 0.174 0.075 0.938 [4 per cell]
O: 0.271 0.690 0.045 [4 per cell]
O: 0.344 0.153 0.233 [4 per cell]

Results
Total moment: 3.89 μB per cell
Energy: -8.4921 eV per atom
Uncorrected formation energy: -1617 meV per atom